Entry from Alexandria via LeMat-Bulk: a relaxed structure of LiSnPO4 (GGA-PBE).

The crystal system is orthorhombic. For the density of states at the Fermi level, the calculation gives 0.000 states/eV/atom. Its energy relative to the elements, uncorrected is -2.02 eV per atom. Its magnetic moment is 0.00 μB per formula unit.

The structure belongs to space group P2_12_12_1 (No. 19); the cell edges are 4.9666, 7.3360 and 10.6843 Å and the angles 90.00°, 90.00° and 90.00°. The inequivalent atoms are Li at (0.0900, 0.2377, 0.2681), Sn at (0.0682, 0.9931, 0.5339), P at (0.1501, 0.4776, 0.6717), O at (0.1559, 0.9522, 0.8268), O at (0.1999, 0.6828, 0.1031), O at (0.2354, 0.5049, 0.3080) and O at (0.2469, 0.6535, 0.5998).

Entry from Alexandria via LeMat-Bulk: a relaxed structure of Li9Sn3P8O29 (GGA-PBE).

The crystal system is trigonal. For the density of states at the Fermi level, the calculation gives 0.159 states/eV/atom. Its energy relative to the elements, uncorrected is -2.13 eV per atom. Its magnetic moment is 2.85 μB per formula unit.

The structure belongs to space group P-3c1 (No. 165); the cell edges are 10.1653, 10.1653 and 14.0673 Å and the angles 90.00°, 90.00° and 120.00°. The inequivalent atoms are Li at (0.0000, 0.0000, 0.0000), Li at (0.1036, 0.3298, 0.0619), Li at (0.3333, 0.6667, 0.3801), Sn at (0.0000, 0.4369, 0.2500), P at (0.0896, 0.3094, 0.8462), P at (0.3333, 0.6667, 0.1156), O at (0.0000, 0.2233, 0.7500), O at (0.0045, 0.2232, 0.5684), O at (0.0670, 0.3072, 0.3458), O at (0.1242, 0.4754, 0.8430), O at (0.2019, 0.5099, 0.1535) and O at (0.3333, 0.6667, 0.0085).

Entry from Alexandria via LeMat-Bulk: a relaxed structure of LiSnPO4 (GGA-PBE).

The crystal system is monoclinic. For the density of states at the Fermi level, the calculation gives 0.000 states/eV/atom. Its energy relative to the elements, uncorrected is -2.05 eV per atom. Its magnetic moment is 0.00 μB per formula unit.

The structure belongs to space group P2_1/c (No. 14); the cell edges are 5.7539, 10.0117 and 8.9326 Å and the angles 90.00°, 120.90° and 90.00°. The inequivalent atoms are Li at (0.2084, 0.1681, 0.0050), Sn at (0.2405, 0.6376, 0.9791), P at (0.1215, 0.5932, 0.2780), O at (0.0134, 0.6726, 0.3806), O at (0.0509, 0.1325, 0.4229), O at (0.0708, 0.0591, 0.7862) and O at (0.4153, 0.6319, 0.3446).

Entry from Alexandria via LeMat-Bulk: a relaxed structure of LiSnPO4 (GGA-PBE).

The crystal system is orthorhombic. For the density of states at the Fermi level, the calculation gives 0.000 states/eV/atom. Its energy relative to the elements, uncorrected is -2.05 eV per atom. Its magnetic moment is 0.00 μB per formula unit.

The structure belongs to space group P2_12_12_1 (No. 19); the cell edges are 5.0320, 5.1192 and 15.8023 Å and the angles 90.00°, 90.00° and 90.00°. The inequivalent atoms are Li at (0.2001, 0.1264, 0.2508), Sn at (0.1578, 0.4889, 0.0757), P at (0.2024, 0.3784, 0.8623), O at (0.0959, 0.7908, 0.6438), O at (0.1241, 0.7818, 0.2998), O at (0.1841, 0.7061, 0.4529) and O at (0.2181, 0.6722, 0.8505).